# 1
{"formula": "Li5SnAu6", "functional": "PBE", "state": "relaxed", "cell": [[4.472, 0.000, 0.000], [-0.004, 6.548, 0.000], [-2.105, -3.254, 6.637]], "species": ["Li", "Li", "Li", "Li", "Li", "Sn", "Au", "Au", "Au", "Au", "Au", "Au"], "frac_coords": [[0.000, 0.000, 0.000], [0.326, 0.827, 0.656], [0.341, 0.341, 0.681], [0.659, 0.659, 0.319], [0.674, 0.173, 0.344], [0.000, 0.500, 0.000], [0.175, 0.407, 0.348], [0.177, 0.941, 0.349], [0.498, 0.221, 0.998], [0.502, 0.779, 0.002], [0.823, 0.059, 0.651], [0.825, 0.593, 0.652]], "mass_density_kg_m3": 11410, "spacegroup": "P-1 (2)", "total_energy_ev_per_atom": -3.26}


# 2
{"formula": "TbPt2", "functional": "PBE", "state": "relaxed", "cell": [[0.000, 3.838, 3.838], [3.838, 0.000, 3.838], [3.838, 3.838, 0.000]], "species": ["Tb", "Tb", "Pt", "Pt", "Pt", "Pt"], "frac_coords": [[0.125, 0.125, 0.125], [0.875, 0.875, 0.875], [0.000, 0.500, 0.500], [0.500, 0.000, 0.500], [0.500, 0.500, 0.000], [0.500, 0.500, 0.500]], "mass_density_kg_m3": 16134, "e_form_ev_per_fu": -3.31, "spacegroup": "Fd-3m (227)"}


# 3
{"formula": "Zr6ScNi", "functional": "PBE", "state": "relaxed", "cell": [[6.338, 0.000, 0.000], [-3.169, 5.489, 0.000], [0.000, 0.000, 4.955]], "species": ["Zr", "Zr", "Zr", "Zr", "Zr", "Zr", "Sc", "Ni"], "frac_coords": [[0.016, 0.508, 0.000], [0.326, 0.163, 0.500], [0.492, 0.508, 0.000], [0.492, 0.984, 0.000], [0.837, 0.163, 0.500], [0.837, 0.674, 0.500], [0.000, 0.000, 0.000], [0.333, 0.667, 0.500]], "mass_density_kg_m3": 6272, "e_form_ev_per_fu": 0.50, "spacegroup": "P-6m2 (187)"}


no.,volume (Å³/cell)
1,194.3
2,113.0
3,172.3